1.
A plane-wave DFT calculation with PBE-GGA was carried out for an optimized crystal structure of SmMgIn2.

a b c (Å): 4.578 4.680 4.680
angles (deg): 90.00 90.00 90.00
Element x y z (fractional)
Sm1 0.500 0.500 0.500
Mg1 0.500 0.000 0.000
In1 0.000 0.500 0.000
In2 0.000 0.000 0.500

DOS at the Fermi energy in states/eV/atom: 0.552
V in A^3/atom: 25.06
Spin magnetization in μB/atom: 0.000
Formation enthalpy at 0 K in eV per atom: -0.424

=====

2.
A plane-wave DFT calculation with PBE-GGA was carried out for an optimized crystal structure of ScTeOs2.

a b c (Å): 9.076 9.076 9.076
angles (deg): 19.38 19.38 19.38
Element x y z (fractional)
Te1 0.746 0.746 0.746
Sc1 0.506 0.506 0.506
Os1 0.253 0.253 0.253
Os2 0.994 0.994 0.994

DOS at the Fermi energy in states/eV/atom: 1.247
Energy relative to the elements, uncorrected in eV per formula unit: 1.8
V in A^3/atom: 17.99
Spin magnetization in μB/atom: 0.000

=====

Question: Look up the DOS at the Fermi energy of the second one.
Answer: 1.247 states/eV/atom

=====

Question: Among the records above, which one has the lowest DOS at the Fermi energy?
Answer: SmMgIn2

=====

Question: spin magnetization of number 2 (ScTeOs2)?
Answer: 0.000 μB/atom